Computed, not measured: crystalline MnTl2PO4 at its relaxed geometry at the GGA+U level of DFT.

size of the total moment	4.70	μB/f.u.
VASP energy	-6.184	eV per atom

a b c (Å): 6.068 6.068 7.459
angles (deg): 90.00 90.00 90.00
Fractional positions:
1 Mn 0.000 0.000 0.000
2 Mn 0.500 0.500 0.500
3 Tl 0.000 0.000 0.500
4 Tl 0.000 0.500 0.250
5 Tl 0.500 0.000 0.750
6 Tl 0.500 0.500 0.000
7 P 0.000 0.500 0.750
8 P 0.500 0.000 0.250
9 O 0.059 0.301 0.873
10 O 0.199 0.559 0.627
11 O 0.301 0.941 0.127
12 O 0.441 0.199 0.373
13 O 0.559 0.801 0.373
14 O 0.699 0.059 0.127
15 O 0.801 0.441 0.627
16 O 0.941 0.699 0.873